Compound: CaPtSCl2
Source: Alexandria via LeMat-Bulk
Functional: PBE-GGA
Structure: optimized geometry

Properties
Its total magnetization is 0.000 μB per cell. The calculated total energy is -19.93 eV for the cell shown. The calculation puts the polymorph energy (0 for the lowest one) at 0.0 kJ per mole of atoms. Its formation energy without anion corrections is -4.1 eV/f.u. The volume comes out at 115 Å³ per cell. Its density is 4.87 g/cm³.

Cell lengths 4.8478, 4.8478, 4.9080 Å; angles 90.00, 90.00, 90.00 degrees
With the nearest neighbours (Å) after each atom.
Fractional positions:
Ca 0.0000 0.0000 0.0000  4 S 3.43, 8 Cl 3.45
Pt 0.5000 0.5000 0.5000  4 Cl 2.42, 2 S 2.45
S 0.5000 0.5000 0.0000  2 Pt 2.45
Cl 0.0000 0.5000 0.5000  2 Pt 2.42
Cl 0.5000 0.0000 0.5000  2 Pt 2.42